VASP calculation (PBE) on an optimized crystal structure of KMg2Cl.

a = 8.2725 Å, b = 8.2725 Å, c = 8.2725 Å
α = 90.00°, β = 90.00°, γ = 90.00°
Space group Fm-3m (No. 225)
Symmetry-distinct sites (fractional):
1 K 0.0000 0.0000 0.0000
2 Mg 0.2500 0.2500 0.2500
3 Cl 0.0000 0.0000 0.5000

Summary:
The value obtained for the offset from the most stable computed form is 541 meV/atom. The calculation puts the magnetic moment at 0.000 μB per atom. The calculation puts the formation energy from raw total energies at -80.2 meV/atom. For the volume, the calculation gives 35.38 Å³ per atom. The value obtained for the uncorrected energy is -25.82 eV for the cell shown.

VASP calculation (PBE) on an optimized crystal structure of SrMn2Mo.

a = 4.8466 Å, b = 4.8466 Å, c = 3.2188 Å
α = 90.00°, β = 90.00°, γ = 90.00°
Space group P4/mmm (No. 123)
Symmetry-distinct sites (fractional):
1 Sr 0.0000 0.0000 0.0000
2 Mn 0.0000 0.5000 0.5000
3 Mo 0.5000 0.5000 0.0000

Summary:
The value obtained for the offset from the most stable computed form is 458 meV/atom. For the formation enthalpy at 0 K, the calculation gives 0.943 eV/atom. The calculation puts the magnetic moment at 1.198 μB per atom. For the volume, the calculation gives 18.90 Å³ per atom. The value obtained for the uncorrected energy is -27.08 eV for the cell shown.

VASP calculation (PBE) on an optimized crystal structure of Si4TePb.

a = 7.8216 Å, b = 7.8216 Å, c = 7.8216 Å
α = 90.00°, β = 90.00°, γ = 90.00°
Space group F-43m (No. 216)
Symmetry-distinct sites (fractional):
1 Si 0.1243 0.1243 0.1243
2 Te 0.2500 0.2500 0.7500
3 Pb 0.0000 0.0000 0.5000

Summary:
The calculation puts the magnetic moment at 0.000 μB per atom. The calculation puts the formation energy from raw total energies at 539.2 meV/atom. For the volume, the calculation gives 19.94 Å³ per atom. The value obtained for the uncorrected energy is -101.23 eV for the cell shown.

VASP calculation (PBE) on an optimized crystal structure of HgAs2Ru.

a = 2.9699 Å, b = 2.9699 Å, c = 9.5809 Å
α = 90.00°, β = 90.00°, γ = 90.00°
Space group P4/mmm (No. 123)
Symmetry-distinct sites (fractional):
1 Hg 0.0000 0.0000 0.0000
2 As 0.5000 0.5000 0.3335
3 Ru 0.0000 0.0000 0.5000

Summary:
For the formation enthalpy at 0 K, the calculation gives -0.050 eV/atom. The calculation puts the magnetic moment at 0.000 μB per atom. For the volume, the calculation gives 21.13 Å³ per atom. The value obtained for the uncorrected energy is -19.08 eV for the cell shown.

VASP calculation (PBE) on an optimized crystal structure of Pm6Tm12Mg.

a = 11.8192 Å, b = 11.8192 Å, c = 14.9168 Å
α = 90.00°, β = 90.00°, γ = 120.00°
Space group R-3 (No. 148, hexagonal axes)
Symmetry-distinct sites (fractional):
1 Pm 0.0123 0.4223 0.1817
2 Tm 0.0057 0.8299 0.6890
3 Tm 0.0456 0.8536 0.9156
4 Mg 0.0000 0.0000 0.5000

Summary:
For the formation enthalpy at 0 K, the calculation gives 0.132 eV/atom. The calculation puts the magnetic moment at 0.000 μB per atom. For the volume, the calculation gives 31.66 Å³ per atom. The value obtained for the uncorrected energy is -243.72 eV for the cell shown.

VASP calculation (PBE) on an optimized crystal structure of Y2TeF.

a = 3.9589 Å, b = 3.9589 Å, c = 20.6334 Å
α = 90.00°, β = 90.00°, γ = 120.00°
Space group R-3m (No. 166, hexagonal axes)
Symmetry-distinct sites (fractional):
1 Y 0.0000 0.0000 0.2314
2 Te 0.0000 0.0000 0.0000
3 F 0.0000 0.0000 0.5000

Summary:
The value obtained for the offset from the most stable computed form is 91 meV/atom. The calculation puts the magnetic moment at 0.000 μB per atom. The calculation puts the formation energy from raw total energies at -1626.0 meV/atom. For the volume, the calculation gives 23.34 Å³ per atom. The value obtained for the uncorrected energy is -73.34 eV for the cell shown.

VASP calculation (PBE) on an optimized crystal structure of Ac4TlHg2.

a = 5.7167 Å, b = 5.7167 Å, c = 27.3092 Å
α = 90.00°, β = 90.00°, γ = 120.00°
Space group R-3m (No. 166, hexagonal axes)
Symmetry-distinct sites (fractional):
1 Ac 0.0000 0.0000 0.1185
2 Ac 0.0000 0.0000 0.3707
3 Tl 0.0000 0.0000 0.5000
4 Hg 0.0000 0.0000 0.2475

Summary:
The value obtained for the offset from the most stable computed form is 14 meV/atom. For the formation enthalpy at 0 K, the calculation gives -0.294 eV/atom. The calculation puts the magnetic moment at 0.000 μB per atom. For the volume, the calculation gives 36.80 Å³ per atom. The value obtained for the uncorrected energy is -64.39 eV for the cell shown.

VASP calculation (PBE) on an optimized crystal structure of Ce2MgRu2.

a = 12.4168 Å, b = 4.7671 Å, c = 9.8728 Å
α = 90.00°, β = 125.58°, γ = 90.00°
Space group C2/m (No. 12)
Symmetry-distinct sites (fractional):
1 Ce 0.1771 0.0000 0.0850
2 Ce 0.1767 0.0000 0.5845
3 Mg 0.9997 0.5000 0.2485
4 Ru 0.1190 0.0000 0.2688
5 Ru 0.1189 0.0000 0.7687

Summary:
For the formation enthalpy at 0 K, the calculation gives -0.310 eV/atom. The calculation puts the magnetic moment at 0.000 μB per atom. For the volume, the calculation gives 23.76 Å³ per atom. The value obtained for the uncorrected energy is -134.26 eV for the cell shown.

VASP calculation (PBE) on an optimized crystal structure of BeSnF.

a = 13.4322 Å, b = 3.3848 Å, c = 5.7727 Å
α = 90.00°, β = 90.00°, γ = 90.00°
Space group Amm2 (No. 38)
Symmetry-distinct sites (fractional):
1 Be 0.0000 0.0000 0.0000
2 Be 0.5000 0.0000 0.0053
3 Sn 0.1414 0.0000 0.3369
4 F 0.3972 0.0000 0.0005

Summary:
The calculation puts the magnetic moment at 0.000 μB per atom. The calculation puts the formation energy from raw total energies at -993.0 meV/atom. For the volume, the calculation gives 21.87 Å³ per atom. The value obtained for the uncorrected energy is -50.32 eV for the cell shown.

VASP calculation (PBE) on an optimized crystal structure of CsAl2PdBr8.

a = 6.8990 Å, b = 6.8990 Å, c = 10.1011 Å
α = 90.00°, β = 90.00°, γ = 120.00°
Space group P-3 (No. 147)
Symmetry-distinct sites (fractional):
1 Cs 0.0000 0.0000 0.0000
2 Al 0.3333 0.6667 0.7357
3 Pd 0.0000 0.0000 0.5000
4 Br 0.0166 0.3356 0.6668
5 Br 0.3333 0.6667 0.9667

Summary:
The calculation puts the magnetic moment at 0.083 μB per atom. The calculation puts the formation energy from raw total energies at -1039.5 meV/atom. For the volume, the calculation gives 34.70 Å³ per atom. The value obtained for the uncorrected energy is -39.39 eV for the cell shown.

VASP calculation (PBE) on an optimized crystal structure of TbHgSb.

a = 4.1962 Å, b = 4.1962 Å, c = 9.3158 Å
α = 90.00°, β = 90.00°, γ = 90.00°
Space group I4mm (No. 107)
Symmetry-distinct sites (fractional):
1 Tb 0.0000 0.0000 0.0000
2 Hg 0.0000 0.0000 0.3234
3 Sb 0.0000 0.0000 0.6480

Summary:
The value obtained for the offset from the most stable computed form is 61 meV/atom. The calculation puts the magnetic moment at 0.000 μB per atom. The calculation puts the formation energy from raw total energies at -500.0 meV/atom. For the volume, the calculation gives 27.34 Å³ per atom. The value obtained for the uncorrected energy is -21.11 eV for the cell shown.

VASP calculation (PBE) on an optimized crystal structure of La3AuO.

a = 5.4633 Å, b = 5.4633 Å, c = 9.5321 Å
α = 90.00°, β = 90.00°, γ = 120.00°
Space group P6_3/mmc (No. 194)
Symmetry-distinct sites (fractional):
1 La 0.0000 0.0000 0.2500
2 La 0.3333 0.6667 0.0762
3 Au 0.3333 0.6667 0.7500
4 O 0.0000 0.0000 0.0000

Summary:
The value obtained for the offset from the most stable computed form is 369 meV/atom. The calculation puts the magnetic moment at 0.000 μB per atom. The calculation puts the formation energy from raw total energies at -1091.5 meV/atom. For the volume, the calculation gives 24.64 Å³ per atom. The value obtained for the uncorrected energy is -56.95 eV for the cell shown.

VASP calculation (PBE) on an optimized crystal structure of RbCeIn2.

a = 3.9616 Å, b = 3.9616 Å, c = 8.9629 Å
α = 90.00°, β = 90.00°, γ = 90.00°
Space group P4/mmm (No. 123)
Symmetry-distinct sites (fractional):
1 Rb 0.0000 0.0000 0.0000
2 Ce 0.0000 0.0000 0.5000
3 In 0.5000 0.5000 0.3032

Summary:
For the formation enthalpy at 0 K, the calculation gives -0.122 eV/atom. The calculation puts the magnetic moment at 0.223 μB per atom. For the volume, the calculation gives 35.17 Å³ per atom. The value obtained for the uncorrected energy is -12.87 eV for the cell shown.